Material: Ba2CaMn2P4O14
Method: DFT, GGA+U
State: optimized geometry

## Properties
Final energy ... -165.2 eV/cell

a = 5.4585 Å, b = 7.7393 Å, c = 10.3161 Å
α = 100.13°, β = 102.27°, γ = 88.37°
With the nearest neighbours (Å) after each atom.
Positions (direct):
Ba  0.9128  0.9163  0.7109  8 O 2.80-3.13
Ba  0.0852  0.0756  0.2853  8 O 2.80-3.12
Ca  0.4989  0.9959  0.9981  4 O 2.33-2.36
Mn  0.8489  0.3926  0.5886  5 O 2.12-2.26
Mn  0.1486  0.5992  0.4072  5 O 2.12-2.26
P  0.3918  0.2098  0.6885  4 O 1.52-1.64
P  0.6060  0.7824  0.3079  4 O 1.52-1.64
P  0.4044  0.5931  0.7323  4 O 1.50-1.63
P  0.5934  0.3990  0.2637  4 O 1.50-1.63
O  0.3559  0.3890  0.3209  1 P 1.54
O  0.6420  0.6029  0.6752  1 P 1.54
O  0.3805  0.7347  0.8488  1 P 1.50
O  0.6173  0.2575  0.1470  1 P 1.50
O  0.8339  0.4035  0.3796  1 P 1.57
O  0.1639  0.5884  0.6163  1 P 1.57
O  0.4048  0.4046  0.7819  2 P 1.63-1.64
O  0.5930  0.5876  0.2142  2 P 1.63-1.64
O  0.8648  0.7989  0.4055  1 P 1.54
O  0.1331  0.1931  0.5907  1 P 1.54
O  0.3860  0.7959  0.3808  1 P 1.54
O  0.6119  0.1960  0.6155  1 P 1.54
O  0.5816  0.9160  0.2136  1 P 1.52
O  0.4161  0.0762  0.7828  1 P 1.52